The following is a PBE calculation of a relaxed structure of NdSmMnTl, from the Alexandria database.

Calculated values
calculated density = 8.4 g/cm³
formation energy = 0.004 eV/atom
space group = F-43m

Cell lengths 5.3603, 5.3603, 5.3603 Å; angles 60.00, 60.00, 60.00 degrees
With the nearest neighbours (Å) after each atom.
Sites, in units of the cell vectors:
Nd (0.7500, 0.7500, 0.7500)  4 Mn 3.28, 4 Tl 3.28
Tl (0.0000, 0.0000, 0.0000)  4 Sm 3.28, 4 Nd 3.28
Sm (0.2500, 0.2500, 0.2500)  4 Tl 3.28, 4 Mn 3.28
Mn (0.5000, 0.5000, 0.5000)  4 Nd 3.28, 4 Sm 3.28

=====

The following is a PBE calculation of a relaxed structure of Nd4MnSn8, from the Alexandria database.

Calculated values
calculated density = 7.4 g/cm³
formation energy = -0.552 eV/atom
space group = Pmm2

Cell lengths 4.4737, 4.5518, 17.3455 Å; angles 90.00, 90.00, 90.00 degrees
With the nearest neighbours (Å) after each atom.
Sites, in units of the cell vectors:
Sn (0.0000, 0.5000, 0.2351)  2 Mn 2.66
Sn (0.5000, 0.0000, 0.2331)  2 Mn 2.65
Sn (0.0000, 0.5000, 0.9338)  2 Sn 3.03, 4 Nd 3.25
Sn (0.0000, 0.0000, 0.7516)  4 Sn 3.19, 4 Nd 3.38-3.39
Sn (0.5000, 0.5000, 0.7556)  4 Sn 3.19, 4 Nd 3.37-3.40
Sn (0.5000, 0.0000, 0.5785)  2 Sn 2.99, 4 Nd 3.23
Sn (0.0000, 0.0000, 0.4643)  1 Mn 2.59
Sn (0.5000, 0.5000, 0.0515)  2 Sn 3.03, 4 Nd 3.28
Nd (0.5000, 0.5000, 0.3960)  8 Sn 3.40-3.63, 4 Mn 3.49
Nd (0.5000, 0.0000, 0.8985)  10 Sn 3.25-3.50
Nd (0.0000, 0.0000, 0.0955)  10 Sn 3.27-3.61
Nd (0.0000, 0.5000, 0.6078)  10 Sn 3.23-3.40
Mn (0.0000, 0.0000, 0.3148)  5 Sn 2.59-2.66

=====

The following is a PBE calculation of a relaxed structure of TbNdMn17, from the Alexandria database.

Calculated values
calculated density = 8.0 g/cm³
formation energy = 0.033 eV/atom
space group = R3m

Cell lengths 6.3574, 6.3574, 6.3574 Å; angles 86.35, 86.35, 86.35 degrees
With the nearest neighbours (Å) after each atom.
Sites, in units of the cell vectors:
Mn (0.0012, 0.0012, 0.4997)  8 Mn 2.32-2.49
Mn (0.0009, 0.2737, 0.7266)  7 Mn 2.32-2.58
Mn (0.7266, 0.2737, 0.0009)  7 Mn 2.32-2.58
Mn (0.4997, 0.0012, 0.0012)  8 Mn 2.32-2.49
Mn (0.3532, 0.8777, 0.3532)  9 Mn 2.47-2.71
Mn (0.0997, 0.0997, 0.0997)  1 Mn 2.32
Mn (0.2737, 0.7266, 0.0009)  7 Mn 2.32-2.58
Mn (0.1228, 0.6453, 0.6453)  9 Mn 2.49-2.71
Mn (0.9009, 0.9009, 0.9009)  1 Mn 2.32
Mn (0.6453, 0.1228, 0.6453)  9 Mn 2.49-2.71
Mn (0.0009, 0.7266, 0.2737)  7 Mn 2.32-2.58
Mn (0.6453, 0.6453, 0.1228)  9 Mn 2.49-2.71
Mn (0.2737, 0.0009, 0.7266)  7 Mn 2.32-2.58
Mn (0.0012, 0.4997, 0.0012)  8 Mn 2.32-2.49
Mn (0.7266, 0.0009, 0.2737)  7 Mn 2.32-2.58
Mn (0.3532, 0.3532, 0.8777)  9 Mn 2.47-2.71
Mn (0.8777, 0.3532, 0.3532)  9 Mn 2.47-2.71
Tb (0.3539, 0.3539, 0.3539)  13 Mn 2.96-3.20
Nd (0.6434, 0.6434, 0.6434)  16 Mn 2.96-3.31

=====

The following is a PBE calculation of a relaxed structure of TbNd2Mn, from the Alexandria database.

Calculated values
calculated density = 7.1 g/cm³
formation energy = 0.179 eV/atom
space group = P4/mmm

Cell lengths 3.6265, 3.6265, 8.9275 Å; angles 90.00, 90.00, 90.00 degrees
With the nearest neighbours (Å) after each atom.
Sites, in units of the cell vectors:
Nd (0.0000, 0.0000, 0.2102)  4 Mn 3.18
Nd (0.0000, 0.0000, 0.7898)  4 Mn 3.18
Tb (0.5000, 0.5000, 0.5000)  4 Tb 3.63, 8 Nd 3.64
Mn (0.5000, 0.5000, 0.0000)  8 Nd 3.18

=====

The following is a PBE calculation of a relaxed structure of TbNdMn4, from the Alexandria database.

Calculated values
calculated density = 8.7 g/cm³
formation energy = 0.236 eV/atom
space group = F-43m

Cell lengths 5.2078, 5.2078, 5.2078 Å; angles 60.00, 60.00, 60.00 degrees
With the nearest neighbours (Å) after each atom.
Sites, in units of the cell vectors:
Mn (0.1217, 0.6261, 0.6261)  6 Mn 2.58-2.63
Mn (0.6261, 0.6261, 0.1217)  6 Mn 2.58-2.63
Mn (0.6261, 0.1217, 0.6261)  6 Mn 2.58-2.63
Mn (0.6261, 0.6261, 0.6261)  6 Mn 2.58-2.63
Tb (0.0000, 0.0000, 0.0000)  12 Mn 3.05, 4 Nd 3.19
Nd (0.2500, 0.2500, 0.2500)  12 Mn 3.06, 4 Tb 3.19

=====

The following is a PBE calculation of a relaxed structure of TbNdMnZn, from the Alexandria database.

Calculated values
calculated density = 7.4 g/cm³
formation energy = -0.011 eV/atom
space group = F-43m

Cell lengths 5.1176, 5.1176, 5.1176 Å; angles 60.00, 60.00, 60.00 degrees
With the nearest neighbours (Å) after each atom.
Sites, in units of the cell vectors:
Tb (0.5000, 0.5000, 0.5000)  4 Mn 3.13, 4 Zn 3.13
Nd (0.0000, 0.0000, 0.0000)  4 Mn 3.13, 4 Zn 3.13
Zn (0.2500, 0.2500, 0.2500)  4 Tb 3.13, 4 Nd 3.13
Mn (0.7500, 0.7500, 0.7500)  4 Tb 3.13, 4 Nd 3.13

=====

The following is a PBE calculation of a relaxed structure of NdMnTe2, from the Alexandria database.

Calculated values
E_form (uncorrected) = -0.226 eV per atom
calculated density = 5.9 g/cm³
space group = R-3m

Cell lengths 3.9510, 3.9510, 9.6705 Å; angles 78.21, 78.21, 60.00 degrees
With the nearest neighbours (Å) after each atom.
Sites, in units of the cell vectors:
Te (0.1108, 0.1108, 0.6675)  3 Mn 2.77
Te (0.8892, 0.8892, 0.3325)  3 Mn 2.77
Mn (0.5000, 0.5000, 0.5000)  6 Te 2.77
Nd (0.0000, 0.0000, 0.0000)  2 Te 3.12

=====

The following is a PBE calculation of a relaxed structure of Nd2MnTl3Te6, from the Alexandria database.

Calculated values
E_form (uncorrected) = -0.737 eV per atom
calculated density = 6.9 g/cm³
space group = C2/m

Cell lengths 7.7096, 7.7096, 8.4261 Å; angles 99.05, 99.05, 119.82 degrees
With the nearest neighbours (Å) after each atom.
Sites, in units of the cell vectors:
Tl (0.8207, 0.1793, 0.5000)  6 Te 3.43-3.53
Tl (0.5000, 0.5000, 0.5000)  6 Te 3.40-3.53
Tl (0.1793, 0.8207, 0.5000)  6 Te 3.43-3.53
Te (0.7636, 0.7636, 0.2251)  1 Mn 3.02, 2 Nd 3.18
Te (0.2364, 0.2364, 0.7749)  1 Mn 3.02, 2 Nd 3.18
Te (0.0674, 0.3727, 0.2070)  1 Mn 2.87, 2 Nd 3.18
Te (0.6273, 0.9326, 0.7930)  1 Mn 2.87, 2 Nd 3.18
Te (0.3727, 0.0674, 0.2070)  1 Mn 2.87, 2 Nd 3.18
Te (0.9326, 0.6273, 0.7930)  1 Mn 2.87, 2 Nd 3.18
Nd (0.3364, 0.6636, 0.0000)  6 Te 3.18
Nd (0.6636, 0.3364, 0.0000)  6 Te 3.18
Mn (0.0000, 0.0000, 0.0000)  6 Te 2.87-3.02